# 1
8
Lattice="4.484 -6.342 0.000 4.484 6.342 0.000 0.000 0.000 4.487" Properties=species:S:1:pos:R:3 comment="PBE NdSm3Sb4, optimized geometry" m_tot_mub_per_cell=0.00 density_kg_m3=7043 raw_formation_energy_ev_per_atom=-1.1796 sg="Cmmm, No. 65" n_ef_per_ev_atom=0.129 pbc="T T T"
Nd 0.000 0.000 0.000
Sm 2.242 3.171 2.244
Sm 2.242 -3.171 2.244
Sm 4.484 0.000 0.000
Sb 4.484 3.157 0.000
Sb 2.262 0.000 2.244
Sb 6.706 0.000 2.244
Sb 4.484 -3.157 0.000



# 2
7
Lattice="-2.672 2.672 8.423 2.672 -2.672 8.423 2.672 2.672 -8.423" Properties=species:S:1:pos:R:3 comment="PBE NdSm4Sb2, optimized geometry" m_tot_mub_per_cell=0.27 density_kg_m3=6829 raw_formation_energy_ev_per_atom=0.1590 sg="I4/mmm, No. 139" n_ef_per_ev_atom=1.150 pbc="T T T"
Nd 0.000 0.000 0.000
Sm 2.672 0.000 0.000
Sm 0.000 0.000 3.098
Sm 0.000 2.672 0.000
Sm 0.000 0.000 13.748
Sb 0.000 0.000 6.181
Sb 0.000 0.000 10.665



# 3
18
Lattice="8.079 -4.099 0.000 8.079 4.099 0.000 0.000 0.000 8.358" Properties=species:S:1:pos:R:3 comment="PBE Nd2Sm2Sb5, optimized geometry" m_tot_mub_per_cell=0.00 density_kg_m3=7187 raw_formation_energy_ev_per_atom=-0.9140 sg="Cmce, No. 64" n_ef_per_ev_atom=0.722 pbc="T T T"
Nd 8.079 2.790 6.997
Nd 8.079 1.309 2.818
Nd 8.079 -1.309 5.541
Nd 8.079 -2.790 1.361
Sm 3.064 0.000 4.179
Sm 5.016 0.000 0.000
Sm 11.143 0.000 0.000
Sm 13.095 0.000 4.179
Sb 0.000 0.000 4.179
Sb 2.285 1.153 7.179
Sb 5.795 1.153 5.358
Sb 2.285 -1.153 1.179
Sb 5.795 -1.153 3.000
Sb 8.079 0.000 0.000
Sb 10.364 1.153 5.358
Sb 13.874 1.153 7.179
Sb 10.364 -1.153 3.000
Sb 13.874 -1.153 1.179



# 4
3
Lattice="-2.075 2.075 5.095 2.075 -2.075 5.095 2.075 2.075 -5.095" Properties=species:S:1:pos:R:3 comment="PBE NdSmSb, optimized geometry" m_tot_mub_per_cell=0.00 density_kg_m3=7881 raw_formation_energy_ev_per_atom=-0.6775 sg="I4mm, No. 107" n_ef_per_ev_atom=1.114 pbc="T T T"
Nd 0.000 0.000 0.000
Sm 0.000 0.000 3.127
Sb 0.000 0.000 6.688



Copy entry 3 word for word.
18
Lattice="8.079 -4.099 0.000 8.079 4.099 0.000 0.000 0.000 8.358" Properties=species:S:1:pos:R:3 comment="PBE Nd2Sm2Sb5, optimized geometry" m_tot_mub_per_cell=0.00 density_kg_m3=7187 raw_formation_energy_ev_per_atom=-0.9140 sg="Cmce, No. 64" n_ef_per_ev_atom=0.722 pbc="T T T"
Nd 8.079 2.790 6.997
Nd 8.079 1.309 2.818
Nd 8.079 -1.309 5.541
Nd 8.079 -2.790 1.361
Sm 3.064 0.000 4.179
Sm 5.016 0.000 0.000
Sm 11.143 0.000 0.000
Sm 13.095 0.000 4.179
Sb 0.000 0.000 4.179
Sb 2.285 1.153 7.179
Sb 5.795 1.153 5.358
Sb 2.285 -1.153 1.179
Sb 5.795 -1.153 3.000
Sb 8.079 0.000 0.000
Sb 10.364 1.153 5.358
Sb 13.874 1.153 7.179
Sb 10.364 -1.153 3.000
Sb 13.874 -1.153 1.179



Question: What is the formula in the second record?
Answer: NdSm4Sb2